Entry 1:
{"formula": "CoI2NO", "functional": "GGA+U", "state": "relaxed", "cell": [[5.115, 0.000, 0.000], [0.000, 5.115, 0.000], [0.000, 0.000, 3.822]], "species": ["Co", "I", "I", "N", "O"], "frac_coords": [[0.000, 0.000, 0.000], [0.000, 0.500, 0.500], [0.500, 0.000, 0.500], [0.500, 0.500, 0.000], [0.500, 0.500, 0.500]], "final_energy_ry_per_atom": -0.2035, "e_above_lowest_polymorph_ev_per_atom": 0.620}



Entry 2:
{"formula": "Li6VF8", "functional": "GGA+U", "state": "relaxed", "cell": [[0.000, 4.195, 4.195], [4.195, 0.000, 4.195], [4.195, 4.195, 0.000]], "species": ["Li", "Li", "Li", "Li", "Li", "Li", "V", "F", "F", "F", "F", "F", "F", "F", "F"], "frac_coords": [[0.000, 0.000, 0.500], [0.000, 0.500, 0.000], [0.000, 0.500, 0.500], [0.500, 0.000, 0.000], [0.500, 0.000, 0.500], [0.500, 0.500, 0.000], [0.000, 0.000, 0.000], [0.246, 0.246, 0.754], [0.246, 0.754, 0.246], [0.246, 0.754, 0.754], [0.250, 0.250, 0.250], [0.750, 0.750, 0.750], [0.754, 0.246, 0.246], [0.754, 0.246, 0.754], [0.754, 0.754, 0.246]], "final_energy_ry_per_atom": -0.3748}



Which formula does entry 2 have?
Li6VF8